# CaCo2O2 | the Alexandria database | PBE with a Hubbard U | optimized geometry
data_CaCo2O2
_cell_length_a 6.516
_cell_length_b 6.516
_cell_length_c 3.612
_cell_angle_alpha 90.00
_cell_angle_beta 90.00
_cell_angle_gamma 90.00
_space_group_name_H-M_alt 'P 1'
_space_group_IT_number 1
loop_
_space_group_symop_operation_xyz
'x,y,z'
loop_
_atom_site_label
_atom_site_fract_x
_atom_site_fract_y
_atom_site_fract_z
Ca1 0.000 0.000 0.000
Ca2 0.500 0.500 0.000
Co1 0.150 0.650 0.500
Co2 0.650 0.850 0.500
Co3 0.850 0.350 0.500
Co4 0.350 0.150 0.500
O1 0.176 0.676 0.000
O2 0.676 0.824 0.000
O3 0.824 0.324 0.000
O4 0.324 0.176 0.000
# - relative energy among the computed polymorphs (meV per atom) = 0